[1]
Computed, not measured: an optimized crystal structure of LaDyAgBi at the PBE-GGA level of DFT.

Calculated values
calculated formation energy: -0.47 eV per atom

a = 7.679 Å, b = 7.679 Å, c = 7.679 Å
α = 90.00°, β = 90.00°, γ = 90.00°
Space group F-43m (No. 216)
One atom of each set of equivalent atoms:
La1 0.000 0.000 0.000 [4 per cell]
Dy1 0.000 0.000 0.500 [4 per cell]
Ag1 0.250 0.250 0.750 [4 per cell]
Bi1 0.250 0.250 0.250 [4 per cell]

=====

[2]
Computed, not measured: an optimized crystal structure of LiDyAgBi at the PBE-GGA level of DFT.

Calculated values
calculated formation energy: -0.43 eV per atom

a = 7.251 Å, b = 7.251 Å, c = 7.251 Å
α = 90.00°, β = 90.00°, γ = 90.00°
Space group F-43m (No. 216)
One atom of each set of equivalent atoms:
Li1 0.000 0.000 0.000 [4 per cell]
Dy1 0.000 0.000 0.500 [4 per cell]
Ag1 0.250 0.250 0.750 [4 per cell]
Bi1 0.250 0.250 0.250 [4 per cell]

=====

[3]
Computed, not measured: an optimized crystal structure of NaDyAgBi at the PBE-GGA level of DFT.

Calculated values
calculated formation energy: -0.36 eV per atom

a = 7.470 Å, b = 7.470 Å, c = 7.470 Å
α = 90.00°, β = 90.00°, γ = 90.00°
Space group F-43m (No. 216)
One atom of each set of equivalent atoms:
Na1 0.000 0.000 0.000 [4 per cell]
Dy1 0.000 0.000 0.500 [4 per cell]
Ag1 0.250 0.250 0.750 [4 per cell]
Bi1 0.250 0.250 0.250 [4 per cell]

=====

[4]
Computed, not measured: an optimized crystal structure of NdDyAgBi at the PBE-GGA level of DFT.

Calculated values
calculated formation energy: -0.45 eV per atom

a = 7.601 Å, b = 7.601 Å, c = 7.601 Å
α = 90.00°, β = 90.00°, γ = 90.00°
Space group F-43m (No. 216)
One atom of each set of equivalent atoms:
Nd1 0.000 0.000 0.000 [4 per cell]
Dy1 0.000 0.000 0.500 [4 per cell]
Ag1 0.250 0.250 0.750 [4 per cell]
Bi1 0.250 0.250 0.250 [4 per cell]

=====

Total magnetization / μB per atom: 0.0001; 0.0000; 0.0000; 0.0002